Record 1
12
Lattice="6.2616 -1.8668 0.0000 6.2616 1.8668 0.0000 -2.9306 0.0000 11.0245" Properties=species:S:1:pos:R:3 comment="Sc5Se5S2 | the Alexandria database | PBE | relaxed" raw_formation_energy_ev_per_atom=-1.72 pbc="T T T"
Sc 0.0000 0.0000 0.0000
Sc 0.1678 0.0000 4.5640
Sc 3.3382 0.0000 2.0942
Sc 6.2545 0.0000 8.9303
Sc 9.4248 0.0000 6.4606
Se 1.3017 0.0000 7.1232
Se 1.4683 0.0000 10.4588
Se 4.7963 0.0000 5.5123
Se 8.1244 0.0000 0.5657
Se 8.2909 0.0000 3.9014
S -1.8257 0.0000 8.6956
S 11.4183 0.0000 2.3289

Record 2
20
Lattice="9.1058 0.0000 0.0000 0.0000 9.1058 0.0000 0.0000 0.0000 3.5157" Properties=species:S:1:pos:R:3 comment="Mg2InNi5Ge2 | the Alexandria database | PBE | relaxed" e_form_ev_per_atom=-0.232 pbc="T T T"
Mg 1.5792 2.9737 0.0000
Mg 2.9737 7.5266 0.0000
Mg 6.1322 1.5792 0.0000
Mg 7.5266 6.1322 0.0000
In 0.0000 0.0000 0.0000
In 4.5529 4.5529 0.0000
Ni 0.0000 4.5529 1.7579
Ni 0.6004 7.1763 1.7579
Ni 1.9295 0.6004 1.7579
Ni 2.6234 5.1533 1.7579
Ni 3.9525 2.6234 1.7579
Ni 4.5529 0.0000 1.7579
Ni 5.1533 6.4825 1.7579
Ni 6.4825 3.9525 1.7579
Ni 7.1763 8.5055 1.7579
Ni 8.5055 1.9295 1.7579
Ge 1.1336 5.6865 0.0000
Ge 3.4194 1.1336 0.0000
Ge 5.6865 7.9723 0.0000
Ge 7.9723 3.4194 0.0000

Record 3
5
Lattice="-2.1793 2.1793 5.2749 2.1793 -2.1793 5.2749 2.1793 2.1793 -5.2749" Properties=species:S:1:pos:R:3 comment="Ti2InGe2 | the Alexandria database | PBE | relaxed" e_form_ev_per_atom=-0.136 pbc="T T T"
Ti 2.1793 0.0000 2.6374
Ti 0.0000 2.1793 2.6374
In 0.0000 0.0000 0.0000
Ge 0.0000 0.0000 4.0391
Ge 0.0000 0.0000 6.5106

Record 4
4
Lattice="-2.0956 2.1076 4.0553 2.0956 -2.1076 4.0553 2.0956 2.1076 -4.0553" Properties=species:S:1:pos:R:3 comment="LaIr2Os | the Alexandria database | PBE | relaxed" e_form_ev_per_atom=0.272 pbc="T T T"
La 0.0000 0.0000 0.0000
Ir 2.0956 0.0000 2.0319
Ir 0.0000 2.1076 2.0234
Os 0.0000 0.0000 4.0553

Record 5
2
Lattice="4.4018 0.0000 0.0000 0.0000 4.4018 0.0000 0.0000 0.0000 4.4149" Properties=species:S:1:pos:R:3 comment="RbZn | the Alexandria database | PBE | relaxed" e_form_ev_per_atom=0.245 pbc="T T T"
Rb 0.0000 0.0000 0.0000
Zn 2.2009 2.2009 2.2075

Record 6
4
Lattice="2.8511 -4.6083 0.0000 2.8511 4.6083 0.0000 -1.2942 0.0000 2.5593" Properties=species:S:1:pos:R:3 comment="YRe2Si | the Alexandria database | PBE | relaxed" raw_formation_energy_ev_per_atom=0.35 pbc="T T T"
Y 0.0000 0.0000 0.0000
Re 0.7784 2.3042 1.2796
Re 0.7784 -2.3042 1.2796
Si 2.8511 0.0000 0.0000

Record 7
4
Lattice="4.0518 0.0000 0.0000 0.0000 4.0518 0.0000 0.0000 0.0000 7.1455" Properties=species:S:1:pos:R:3 comment="Pr2HgSb | the Alexandria database | PBE | relaxed" raw_formation_energy_ev_per_atom=-0.74 pbc="T T T"
Pr 0.0000 0.0000 1.7414
Pr 0.0000 0.0000 5.4041
Hg 2.0259 2.0259 3.5727
Sb 2.0259 2.0259 0.0000

Record 8
7
Lattice="-3.1138 3.1138 4.4793 3.1138 -3.1138 4.4793 3.1138 3.1138 -4.4793" Properties=species:S:1:pos:R:3 comment="RbCaSbO4 | the Alexandria database | PBE | relaxed" raw_formation_energy_ev_per_atom=-1.91 pbc="T T T"
Rb 0.0000 0.0000 0.0000
Ca 0.0000 0.0000 4.4793
Sb 3.1138 0.0000 2.2397
O 1.7508 -0.7790 3.3171
O 2.3347 1.3629 1.1623
O 1.3629 3.8928 -1.1623
O 0.7790 1.7508 5.6416

Record 9
10
Lattice="7.5890 0.0000 0.0000 0.0000 7.5890 0.0000 0.0000 0.0000 5.5048" Properties=species:S:1:pos:R:3 comment="TiBi2Cl2 | the Alexandria database | PBE | relaxed" raw_formation_energy_ev_per_atom=-0.10 pbc="T T T"
Ti 0.0000 0.0000 0.0000
Ti 3.7945 3.7945 0.0000
Bi 1.1174 2.6771 0.0000
Bi 2.6771 6.4716 0.0000
Bi 4.9119 1.1174 0.0000
Bi 6.4716 4.9119 0.0000
Cl 1.5228 2.2717 2.7524
Cl 2.2717 6.0662 2.7524
Cl 5.3173 1.5228 2.7524
Cl 6.0662 5.3173 2.7524

Record 10
4
Lattice="3.5265 0.0000 0.0000 0.0000 5.3505 0.0000 0.0000 0.0000 5.8031" Properties=species:S:1:pos:R:3 comment="KHg2As | the Alexandria database | PBE | relaxed" e_form_ev_per_atom=0.030 pbc="T T T"
K 0.0000 0.0000 0.0000
Hg 0.0000 2.6753 2.9015
Hg 1.7633 2.6753 0.0000
As 1.7633 0.0000 2.9015

Record 11
5
Lattice="5.1267 0.0000 0.0000 0.0000 5.1267 0.0000 0.0000 0.0000 5.1267" Properties=species:S:1:pos:R:3 comment="Mg3CdP | the Alexandria database | PBE | relaxed" e_form_ev_per_atom=0.570 pbc="T T T"
Mg 0.0000 0.0000 2.5634
Mg 0.0000 2.5634 0.0000
Mg 2.5634 0.0000 0.0000
Cd 0.0000 0.0000 0.0000
P 2.5634 2.5634 2.5634

Record 12
30
Lattice="3.6073 -5.8459 0.0000 3.6073 5.8459 0.0000 0.0000 0.0000 24.8732" Properties=species:S:1:pos:R:3 comment="Nd12Dy2Mg | the Alexandria database | PBE | relaxed" e_form_ev_per_atom=0.145 pbc="T T T"
Nd 3.6073 5.8409 1.8363
Nd 3.6073 -5.8409 23.0369
Nd 1.8101 2.9229 21.7106
Nd 1.9442 2.9229 10.2938
Nd 3.6073 5.5585 13.9409
Nd 1.8036 0.0000 4.9001
Nd 1.8036 0.0000 8.0554
Nd 1.8036 0.0000 16.8178
Nd 1.8036 0.0000 19.9731
Nd 3.6073 0.2874 13.9409
Nd 5.2703 2.9229 10.2938
Nd 5.4045 2.9229 21.7106
Nd 3.6073 0.0049 1.8363
Nd 3.6073 -0.0049 23.0369
Nd 1.8101 -2.9229 3.1626
Nd 1.9442 -2.9229 14.5794
Nd 3.6073 -0.2874 10.9323
Nd 5.4109 0.0000 4.9001
Nd 5.4109 0.0000 8.0554
Nd 5.4109 0.0000 16.8178
Nd 5.4109 0.0000 19.9731
Nd 3.6073 -5.5585 10.9323
Nd 5.2703 -2.9229 14.5794
Nd 5.4045 -2.9229 3.1626
Dy 3.6073 2.9229 6.5821
Dy 3.6073 2.9229 18.1940
Dy 3.6073 -2.9229 6.6793
Dy 3.6073 -2.9229 18.2911
Mg 3.6073 2.9229 0.0003
Mg 3.6073 -2.9229 24.8729

Record 13
12
Lattice="2.5034 1.4453 8.1642 -2.5034 1.4453 8.1642 0.0000 -2.8907 8.1642" Properties=species:S:1:pos:R:3 comment="Pu3ScNi8 | the Alexandria database | PBE | relaxed" e_form_ev_per_atom=-0.322 pbc="T T T"
Pu 0.0000 0.0000 0.0000
Pu 0.0000 0.0000 3.0579
Pu 0.0000 0.0000 12.1915
Sc 0.0000 0.0000 15.2722
Ni -1.2611 -0.7281 9.6311
Ni 0.0000 -1.4541 5.6397
Ni -1.2593 0.7270 5.6397
Ni 0.0000 0.0000 7.6297
Ni 1.2611 -0.7281 9.6311
Ni 0.0000 1.4562 9.6311
Ni 1.2593 0.7270 5.6397
Ni 0.0000 0.0000 19.8878

Record 14
4
Lattice="0.0000 3.4985 3.4985 3.4985 0.0000 3.4985 3.4985 3.4985 0.0000" Properties=species:S:1:pos:R:3 comment="GdErCoAg | the Alexandria database | PBE | relaxed" e_form_ev_per_atom=-0.173 pbc="T T T"
Gd 0.0000 0.0000 0.0000
Er 3.4985 3.4985 3.4985
Co 5.2477 5.2477 5.2477
Ag 1.7492 1.7492 1.7492

Record 15
12
Lattice="4.9990 0.0000 0.0000 -2.4995 4.3292 0.0000 0.0000 0.0000 8.2178" Properties=species:S:1:pos:R:3 comment="Li3SmCu8 | the Alexandria database | PBE | relaxed" e_form_ev_per_atom=-0.111 pbc="T T T"
Li 0.0000 0.0000 0.0000
Li 0.0000 0.0000 2.8183
Li 0.0000 2.8862 7.4791
Sm 0.0000 2.8862 4.1845
Cu -1.2483 2.1655 1.5614
Cu 1.2330 0.7119 5.7845
Cu 0.0000 4.3276 1.5614
Cu 1.2483 2.1655 1.5614
Cu 2.4995 1.4431 3.6370
Cu 2.4995 1.4431 7.7624
Cu 3.7660 0.7119 5.7845
Cu 2.4995 2.9055 5.7845

Record 16
11
Lattice="6.8686 -3.0742 0.0000 6.8686 3.0742 0.0000 -2.7330 0.0000 8.2215" Properties=species:S:1:pos:R:3 comment="Ho5SnTe5 | the Alexandria database | PBE | relaxed" raw_formation_energy_ev_per_atom=-1.27 pbc="T T T"
Ho 0.0000 0.0000 0.0000
Ho 4.1806 0.0000 1.3814
Ho 2.8099 0.0000 5.5112
Ho 8.1944 0.0000 2.7104
Ho 6.8236 0.0000 6.8401
Sn 6.8686 0.0000 0.0000
Te 0.0139 0.0000 6.8207
Te 1.3712 0.0000 2.7707
Te 5.5021 0.0000 4.1108
Te 9.6331 0.0000 5.4509
Te 10.9904 0.0000 1.4008

Record 17
4
Lattice="1.5625 -2.1766 0.0000 1.5625 2.1766 0.0000 0.0000 0.0000 8.6265" Properties=species:S:1:pos:R:3 comment="BeCdRe2 | the Alexandria database | PBE | relaxed" e_form_ev_per_atom=0.446 pbc="T T T"
Be 0.0000 0.0000 0.0000
Cd 0.0000 0.0000 4.3133
Re 1.5625 0.0000 1.8389
Re 1.5625 0.0000 6.7877

Record 18
4
Lattice="2.5583 0.0000 0.0000 0.0000 2.5583 0.0000 0.0000 0.0000 8.3162" Properties=species:S:1:pos:R:3 comment="Zn2CrTc | the Alexandria database | PBE | relaxed" e_form_ev_per_atom=0.238 pbc="T T T"
Zn 0.0000 0.0000 2.0001
Zn 0.0000 0.0000 6.3162
Cr 1.2792 1.2792 0.0000
Tc 1.2792 1.2792 4.1581

Record 19
56
Lattice="12.3927 0.0000 0.0000 0.0000 6.8173 0.0000 0.0000 0.0000 13.8602" Properties=species:S:1:pos:R:3 comment="Sr7ZrN6 | the Alexandria database | PBE | relaxed" raw_formation_energy_ev_per_atom=-0.76 pbc="T T T"
Sr 0.0000 0.1006 3.4650
Sr 0.0000 6.7168 10.3951
Sr 0.5205 1.5295 6.9928
Sr 0.5205 5.2878 0.0627
Sr 2.7517 2.5947 1.6610
Sr 2.7517 4.2227 8.5911
Sr 2.7978 2.4313 12.0797
Sr 2.7978 4.3861 5.1496
Sr 3.3985 0.9774 5.1496
Sr 3.3985 5.8399 12.0797
Sr 3.4446 0.8140 8.5911
Sr 3.4446 6.0034 1.6610
Sr 5.6759 1.8791 0.0627
Sr 5.6759 4.9382 6.9928
Sr 6.1963 3.3081 10.3951
Sr 6.1963 3.5092 3.4650
Sr 6.7168 1.8791 6.8674
Sr 6.7168 4.9382 13.7975
Sr 8.9480 0.8140 12.1992
Sr 8.9480 6.0034 5.2691
Sr 8.9942 0.9774 1.7805
Sr 8.9942 5.8399 8.7106
Sr 9.5948 2.4313 8.7106
Sr 9.5948 4.3861 1.7805
Sr 9.6410 2.5947 5.2691
Sr 9.6410 4.2227 12.1992
Sr 11.8722 1.5295 13.7975
Sr 11.8722 5.2878 6.8674
Zr 0.0000 3.3084 10.3951
Zr 0.0000 3.5089 3.4650
Zr 6.1963 0.1002 3.4650
Zr 6.1963 6.7171 10.3951
N 1.1879 2.2234 4.6227
N 1.1879 4.5939 11.5528
N 1.3920 2.0167 9.4567
N 1.3920 4.8006 2.5267
N 1.9606 0.7217 13.8298
N 1.9606 6.0957 6.8997
N 4.2358 2.6870 6.8997
N 4.2358 4.1303 13.8298
N 4.8043 1.3920 2.5267
N 4.8043 5.4254 9.4567
N 5.0084 1.1853 11.5528
N 5.0084 5.6321 4.6227
N 7.3843 1.1853 9.2375
N 7.3843 5.6321 2.3074
N 7.5884 1.3920 4.4034
N 7.5884 5.4254 11.3335
N 8.1569 2.6870 0.0304
N 8.1569 4.1303 6.9605
N 10.4321 0.7217 6.9605
N 10.4321 6.0957 0.0304
N 11.0007 2.0167 11.3335
N 11.0007 4.8006 4.4034
N 11.2047 2.2234 2.3074
N 11.2047 4.5939 9.2375

Record 20
10
Lattice="8.6446 -1.8440 0.0000 8.6446 1.8440 0.0000 -1.0994 0.0000 8.6692" Properties=species:S:1:pos:R:3 comment="PmHo5Ga4 | the Alexandria database | PBE | relaxed" e_form_ev_per_atom=-0.275 pbc="T T T"
Pm 0.0000 0.0000 0.0000
Ho -0.5497 0.0000 4.3346
Ho 4.6617 0.0000 5.7128
Ho 5.8040 0.0000 1.9640
Ho 10.3858 0.0000 6.7052
Ho 11.5281 0.0000 2.9564
Ga 3.1868 0.0000 0.4639
Ga 7.4303 0.0000 6.3852
Ga 8.7595 0.0000 2.2840
Ga 13.0031 0.0000 8.2053

Record 21
4
Lattice="4.3885 2.5337 0.8985 -4.3885 2.5337 0.8985 0.0000 -5.0673 0.8985" Properties=species:S:1:pos:R:3 comment="Ir3Ru | the Alexandria database | PBE | relaxed" e_form_ev_per_atom=0.589 pbc="T T T"
Ir -2.1942 -1.2668 0.8985
Ir -2.1942 1.2668 1.7969
Ir 0.0000 2.5337 0.8985
Ru 0.0000 0.0000 0.0000

Record 22
10
Lattice="9.6738 -2.1105 0.0000 9.6738 2.1105 0.0000 -1.9093 0.0000 8.9831" Properties=species:S:1:pos:R:3 comment="Sm4AgI5 | the Alexandria database | PBE | relaxed" raw_formation_energy_ev_per_atom=-0.98 pbc="T T T"
Sm -0.3990 0.0000 1.9811
Sm 4.9076 0.0000 8.3166
Sm 12.5308 0.0000 0.6665
Sm 17.8373 0.0000 7.0020
Ag 9.6738 0.0000 0.0000
I 2.6104 0.0000 3.0372
I 1.7799 0.0000 7.3608
I 8.7192 0.0000 4.4915
I 15.6585 0.0000 1.6223
I 14.8280 0.0000 5.9458